The following is a PBE+U calculation of crystalline Co2BiF at its relaxed geometry, from Alexandria.

Summary:
Energy above the most stable polymorph in this dataset, meV per atom: 0
SG: I-42d, No. 122

extended XYZ file:
```
8
Lattice="-2.4138 2.4138 6.5255 2.4138 -2.4138 6.5255 2.4138 2.4138 -6.5255" Properties=species:S:1:pos:R:3 pbc="T T T"
Co 0.0150 1.2069 1.6314
Co -1.2069 2.3988 4.8941
Co -0.0150 3.6207 1.6314
Co 1.2069 2.4287 4.8941
Bi 2.4138 0.0000 3.2628
Bi 0.0000 0.0000 6.5255
F 0.0000 0.0000 0.0000
F 0.0000 2.4138 3.2628
```